YHf2BW | PBE | relaxed

```
YHf2BW
1.0
4.7859 0.0000 0.0000
0.0000 4.7859 0.0000
0.0000 0.0000 4.2778
Y Hf B W
1 2 1 1
direct
0.0000 0.0000 0.0000
0.0000 0.5000 0.5000
0.5000 0.0000 0.5000
0.5000 0.5000 0.5000
0.5000 0.5000 0.0000
```

Properties
For the total energy, the calculation gives -9.116 eV per atom. Its size of the total moment is 0.00 μB/f.u.